A plane-wave DFT calculation with PBE was carried out for a geometry-optimized Hf3HW structure.

- distance to the lowest polymorph of the same formula (meV per atom) = 0.0
- electronic total energy (eV/atom) = -9.1265
- Fermi-level density of states (states/eV/cell) = 8.0
- calculated volume (A^3/atom) = 16.7

Lattice parameters (Å, degrees): 4.3678 4.3678 4.3678 90.00 90.00 90.00
With the nearest neighbours (Å) after each atom.
Sites, in units of the cell vectors:
Hf  0.0000  0.0000  0.5000  2 H 2.18
Hf  0.0000  0.5000  0.0000  2 H 2.18
Hf  0.5000  0.0000  0.0000  2 H 2.18
H  0.0000  0.0000  0.0000  6 Hf 2.18
W  0.5000  0.5000  0.5000  12 Hf 3.09

---

A plane-wave DFT calculation with PBE was carried out for a geometry-optimized Hf5H12W2 structure.

- electronic total energy (eV/atom) = -6.2973
- Fermi-level density of states (states/eV/cell) = 6.6
- calculated volume (A^3/atom) = 9.3

Lattice parameters (Å, degrees): 5.7463 5.7463 6.5385 100.39 100.39 56.90
With the nearest neighbours (Å) after each atom.
Sites, in units of the cell vectors:
Hf  0.0000  0.0000  0.0000  6 H 2.13-2.14
Hf  0.2804  0.2804  0.6659  7 H 1.96-2.12
Hf  0.3357  0.3357  0.1319  7 H 2.01-2.10
Hf  0.6643  0.6643  0.8681  7 H 2.01-2.10
Hf  0.7196  0.7196  0.3341  7 H 1.96-2.12
H  0.0588  0.0588  0.3336  2 W 1.87
H  0.0675  0.5954  0.9042  4 Hf 2.07-2.13, 2 H 2.26-2.27
H  0.1263  0.5097  0.4016  1 W 1.86, 1 Hf 1.96
H  0.4046  0.9325  0.0958  4 Hf 2.07-2.13, 2 H 2.26-2.27
H  0.4792  0.4792  0.6813  2 W 1.90, 2 Hf 1.99-2.01
H  0.4903  0.8737  0.5984  1 W 1.86, 1 Hf 1.96
H  0.5097  0.1263  0.4016  1 W 1.86, 1 Hf 1.96
H  0.5208  0.5208  0.3187  2 W 1.90, 2 Hf 1.99-2.01
H  0.5954  0.0675  0.9042  4 Hf 2.07-2.13, 2 H 2.26-2.27
H  0.8737  0.4903  0.5984  1 W 1.86, 1 Hf 1.96
H  0.9325  0.4046  0.0958  4 Hf 2.07-2.13, 2 H 2.26-2.27
H  0.9412  0.9412  0.6664  2 W 1.87
W  0.2373  0.7627  0.5000  6 H 1.86-1.90
W  0.7627  0.2373  0.5000  6 H 1.86-1.90

---

A plane-wave DFT calculation with PBE was carried out for a geometry-optimized HfH3W structure.

- distance to the lowest polymorph of the same formula (meV per atom) = 0.0
- electronic total energy (eV/atom) = -6.4735
- Fermi-level density of states (states/eV/cell) = 2.6
- calculated volume (A^3/atom) = 9.1

Lattice parameters (Å, degrees): 3.5735 3.5735 3.5735 90.00 90.00 90.00
With the nearest neighbours (Å) after each atom.
Sites, in units of the cell vectors:
Hf  0.0000  0.0000  0.0000  12 H 2.53
H  0.0000  0.5000  0.5000  2 W 1.79
H  0.5000  0.0000  0.5000  2 W 1.79
H  0.5000  0.5000  0.0000  2 W 1.79
W  0.5000  0.5000  0.5000  6 H 1.79

---

A plane-wave DFT calculation with PBE was carried out for a geometry-optimized HfH3W structure.

- distance to the lowest polymorph of the same formula (meV per atom) = 403.3
- electronic total energy (eV/atom) = -6.0702
- Fermi-level density of states (states/eV/cell) = 2.2
- calculated volume (A^3/atom) = 9.3

Lattice parameters (Å, degrees): 3.5997 3.5997 3.5997 90.00 90.00 90.00
With the nearest neighbours (Å) after each atom.
Sites, in units of the cell vectors:
Hf  0.0000  0.0000  0.0000  6 H 1.80
H  0.0000  0.0000  0.5000  2 Hf 1.80
H  0.0000  0.5000  0.0000  2 Hf 1.80
H  0.5000  0.0000  0.0000  2 Hf 1.80
W  0.5000  0.5000  0.5000  12 H 2.55

---

A plane-wave DFT calculation with PBE was carried out for a geometry-optimized Hf3HW structure.

- distance to the lowest polymorph of the same formula (meV per atom) = 1419.9
- electronic total energy (eV/atom) = -7.7066
- Fermi-level density of states (states/eV/cell) = 6.0
- calculated volume (A^3/atom) = 26.5

Lattice parameters (Å, degrees): 5.0952 5.0952 5.0952 90.00 90.00 90.00
With the nearest neighbours (Å) after each atom.
Sites, in units of the cell vectors:
Hf  0.0000  0.0000  0.5000  2 W 2.55
Hf  0.0000  0.5000  0.0000  2 W 2.55
Hf  0.5000  0.0000  0.0000  2 W 2.55
H  0.5000  0.5000  0.5000  12 Hf 3.60
W  0.0000  0.0000  0.0000  6 Hf 2.55

---

A plane-wave DFT calculation with PBE was carried out for a geometry-optimized YHf3H structure.

- electronic total energy (eV/atom) = -7.8950
- Fermi-level density of states (states/eV/cell) = 8.9
- calculated volume (A^3/atom) = 19.5

Lattice parameters (Å, degrees): 4.6033 4.6033 4.6033 90.00 90.00 90.00
With the nearest neighbours (Å) after each atom.
Sites, in units of the cell vectors:
Y  0.0000  0.0000  0.0000  12 Hf 3.26
Hf  0.0000  0.5000  0.5000  2 H 2.30
Hf  0.5000  0.0000  0.5000  2 H 2.30
Hf  0.5000  0.5000  0.0000  2 H 2.30
H  0.5000  0.5000  0.5000  6 Hf 2.30

---

A plane-wave DFT calculation with PBE was carried out for a geometry-optimized YHf2H structure.

- distance to the lowest polymorph of the same formula (meV per atom) = 107.9
- electronic total energy (eV/atom) = -7.2838
- Fermi-level density of states (states/eV/cell) = 3.3
- calculated volume (A^3/atom) = 19.6

Lattice parameters (Å, degrees): 8.8192 8.8192 8.8192 21.18 21.18 21.18
With the nearest neighbours (Å) after each atom.
Sites, in units of the cell vectors:
Y  0.0000  0.0000  0.0000  2 Hf 3.08, 6 Y 3.24
Hf  0.1191  0.1191  0.1191  3 H 2.24
Hf  0.8809  0.8809  0.8809  3 H 2.24
H  0.5000  0.5000  0.5000  6 Hf 2.24

---

A plane-wave DFT calculation with PBE was carried out for a geometry-optimized Y3HfH structure.

- distance to the lowest polymorph of the same formula (meV per atom) = 0.0
- electronic total energy (eV/atom) = -6.5791
- Fermi-level density of states (states/eV/cell) = 6.1
- calculated volume (A^3/atom) = 23.1

Lattice parameters (Å, degrees): 4.8701 4.8701 4.8701 90.00 90.00 90.00
With the nearest neighbours (Å) after each atom.
Sites, in units of the cell vectors:
Y  0.0000  0.0000  0.5000  2 H 2.44
Y  0.0000  0.5000  0.0000  2 H 2.44
Y  0.5000  0.0000  0.0000  2 H 2.44
Hf  0.5000  0.5000  0.5000  12 Y 3.44
H  0.0000  0.0000  0.0000  6 Y 2.44

---

A plane-wave DFT calculation with PBE was carried out for a geometry-optimized Y2HfH2 structure.

- distance to the lowest polymorph of the same formula (meV per atom) = 355.9
- electronic total energy (eV/atom) = -5.8185
- Fermi-level density of states (states/eV/cell) = 3.2
- calculated volume (A^3/atom) = 20.1

Lattice parameters (Å, degrees): 5.5204 5.5204 5.5204 128.34 128.34 76.07
With the nearest neighbours (Å) after each atom.
Sites, in units of the cell vectors:
Y  0.2500  0.7500  0.5000  4 H 2.41
Y  0.7500  0.2500  0.5000  4 H 2.41
Hf  0.0000  0.0000  0.0000  2 H 2.03
H  0.2339  0.2339  0.0000  1 Hf 2.03
H  0.7661  0.7661  0.0000  1 Hf 2.03

---

A plane-wave DFT calculation with PBE was carried out for a geometry-optimized YHfH3 structure.

- distance to the lowest polymorph of the same formula (meV per atom) = 0.0
- electronic total energy (eV/atom) = -5.5765
- Fermi-level density of states (states/eV/cell) = 2.5
- calculated volume (A^3/atom) = 11.7

Lattice parameters (Å, degrees): 3.8828 3.8828 3.8828 90.00 90.00 90.00
With the nearest neighbours (Å) after each atom.
Sites, in units of the cell vectors:
Y  0.0000  0.0000  0.0000  12 H 2.75
Hf  0.5000  0.5000  0.5000  6 H 1.94
H  0.0000  0.5000  0.5000  2 Hf 1.94
H  0.5000  0.0000  0.5000  2 Hf 1.94
H  0.5000  0.5000  0.0000  2 Hf 1.94

---

A plane-wave DFT calculation with PBE was carried out for a geometry-optimized YHfH4 structure.

- electronic total energy (eV/atom) = -5.5783
- Fermi-level density of states (states/eV/cell) = 0.7
- calculated volume (A^3/atom) = 9.9

Lattice parameters (Å, degrees): 3.4048 3.4048 5.1481 90.00 90.00 90.00
With the nearest neighbours (Å) after each atom.
Sites, in units of the cell vectors:
Y  0.0000  0.0000  0.0000  8 H 2.22
Hf  0.5000  0.5000  0.5000  8 H 2.05
H  0.0000  0.5000  0.2783  2 Hf 2.05, 2 Y 2.22, 1 H 2.28
H  0.0000  0.5000  0.7217  2 Hf 2.05, 2 Y 2.22, 1 H 2.28
H  0.5000  0.0000  0.2783  2 Hf 2.05, 2 Y 2.22, 1 H 2.28
H  0.5000  0.0000  0.7217  2 Hf 2.05, 2 Y 2.22, 1 H 2.28

---

A plane-wave DFT calculation with PBE was carried out for a geometry-optimized Y2HfH structure.

- distance to the lowest polymorph of the same formula (meV per atom) = 775.3
- electronic total energy (eV/atom) = -5.7229
- Fermi-level density of states (states/eV/cell) = 4.7
- calculated volume (A^3/atom) = 23.8

Lattice parameters (Å, degrees): 5.1275 5.1275 5.1275 60.00 60.00 60.00
With the nearest neighbours (Å) after each atom.
Sites, in units of the cell vectors:
Y  0.2500  0.2500  0.2500  4 Hf 3.14, 4 H 3.14
Y  0.7500  0.7500  0.7500  4 Hf 3.14, 4 H 3.14
Hf  0.0000  0.0000  0.0000  8 Y 3.14
H  0.5000  0.5000  0.5000  8 Y 3.14